Here is a relaxed structure of MnFe3Cu from the Alexandria database. Energies are from GGA-PBE.

Summary:
Electronic total energy = -6.510 eV/atom
DOS at the Fermi energy = 6.50 states/eV/cell
Magnetic moment = 2.586 μB/atom

Cell: 4.367 4.367 4.367 Å, 90.00 90.00 90.00°
Space group Pm-3m (No. 221)
One atom of each set of equivalent atoms:
Mn: 0.000 0.000 0.000 (multiplicity 1)
Fe: 0.000 0.500 0.500 (multiplicity 3)
Cu: 0.500 0.500 0.500 (multiplicity 1)


Here is a relaxed structure of ThGa12Pt4 from the Alexandria database. Energies are from GGA-PBE.

Summary:
Electronic total energy = -4.348 eV/atom
DOS at the Fermi energy = 24.14 states/eV/cell
Magnetic moment = 0.000 μB/atom

Cell: 8.810 8.810 8.810 Å, 90.00 90.00 90.00°
Space group Im-3 (No. 204)
One atom of each set of equivalent atoms:
Th: 0.000 0.000 0.000 (multiplicity 2)
Ga: 0.000 0.152 0.347 (multiplicity 24)
Pt: 0.250 0.250 0.250 (multiplicity 8)


Here is a relaxed structure of Pr2Sm2Dy from the Alexandria database. Energies are from GGA-PBE.

Summary:
Electronic total energy = -4.441 eV/atom
DOS at the Fermi energy = 30.45 states/eV/cell
Magnetic moment = 0.000 μB/atom

Cell: 6.951 16.405 6.362 Å, 90.00 90.00 90.00°
Space group Cmcm (No. 63)
One atom of each set of equivalent atoms:
Pr: 0.000 0.097 0.250 (multiplicity 4)
Pr: 0.000 0.330 0.750 (multiplicity 4)
Sm: 0.239 0.331 0.250 (multiplicity 8)
Dy: 0.000 0.500 0.000 (multiplicity 4)


Here is a relaxed structure of Th2SiAu3 from the Alexandria database. Energies are from GGA-PBE.

Summary:
Electronic total energy = -5.725 eV/atom
DOS at the Fermi energy = 31.97 states/eV/cell
Magnetic moment = 0.000 μB/atom
Formation energy (no corrections) = -68 kJ/mol of atoms

Cell: 7.474 9.189 15.926 Å, 90.00 90.00 90.00°
Space group Fmmm (No. 69)
One atom of each set of equivalent atoms:
Th: 0.235 0.000 0.000 (multiplicity 8)
Th: 0.250 0.250 0.250 (multiplicity 8)
Si: 0.000 0.000 0.334 (multiplicity 8)
Au: 0.000 0.000 0.173 (multiplicity 8)
Au: 0.000 0.237 0.413 (multiplicity 16)


Here is a relaxed structure of NaZr4S2 from the Alexandria database. Energies are from GGA-PBE.

Summary:
Electronic total energy = -5.728 eV/atom
DOS at the Fermi energy = 18.92 states/eV/cell
Magnetic moment = 0.000 μB/atom
Formation energy (no corrections) = 51 kJ/mol of atoms

Cell: 4.939 4.939 13.384 Å, 90.00 90.00 90.00°
Space group I4/mmm (No. 139)
One atom of each set of equivalent atoms:
Na: 0.000 0.000 0.000 (multiplicity 2)
Zr: 0.000 0.000 0.222 (multiplicity 4)
Zr: 0.000 0.500 0.000 (multiplicity 4)
S: 0.000 0.000 0.401 (multiplicity 4)


Here is a relaxed structure of Ga2Si2Bi from the Alexandria database. Energies are from GGA-PBE.

Summary:
Electronic total energy = -3.908 eV/atom
DOS at the Fermi energy = 5.83 states/eV/cell
Magnetic moment = 0.000 μB/atom
Formation energy (no corrections) = 24 kJ/mol of atoms

Cell: 4.556 4.556 9.876 Å, 90.00 90.00 90.00°
Space group I4/mmm (No. 139)
One atom of each set of equivalent atoms:
Ga: 0.000 0.500 0.250 (multiplicity 4)
Si: 0.000 0.000 0.119 (multiplicity 4)
Bi: 0.000 0.000 0.500 (multiplicity 2)


Here is a relaxed structure of Nb2MoH4 from the Alexandria database. Energies are from GGA-PBE.

Summary:
Electronic total energy = -6.201 eV/atom
DOS at the Fermi energy = 7.71 states/eV/cell
Magnetic moment = 0.000 μB/atom

Cell: 3.388 3.388 11.209 Å, 90.00 90.00 90.00°
Space group I4/mmm (No. 139)
One atom of each set of equivalent atoms:
Nb: 0.000 0.000 0.165 (multiplicity 4)
Mo: 0.000 0.000 0.500 (multiplicity 2)
H: 0.000 0.000 0.337 (multiplicity 4)
H: 0.000 0.500 0.000 (multiplicity 4)


Here is a relaxed structure of Na2SrReO6 from the Alexandria database. Energies are from GGA-PBE.

Summary:
Electronic total energy = -6.466 eV/atom
Magnetic moment = 0.105 μB/atom
Formation energy (no corrections) = -175 kJ/mol of atoms

Cell: 5.733 5.790 6.025 Å, 117.75 90.87 118.97°
Space group P1 (No. 1)
One atom of each set of equivalent atoms:
Na: 0.000 0.000 0.000 (multiplicity 1)
Na: 0.496 0.001 0.486 (multiplicity 1)
Sr: 0.217 0.437 0.660 (multiplicity 1)
Re: 0.729 0.453 0.150 (multiplicity 1)
O: 0.024 0.492 0.319 (multiplicity 1)
O: 0.370 0.236 0.869 (multiplicity 1)
O: 0.500 0.335 0.342 (multiplicity 1)
O: 0.576 0.994 0.888 (multiplicity 1)
O: 0.801 0.849 0.320 (multiplicity 1)
O: 0.903 0.521 0.904 (multiplicity 1)


Here is a relaxed structure of Cd2IF from the Alexandria database. Energies are from GGA-PBE.

Summary:
Electronic total energy = -2.050 eV/atom
DOS at the Fermi energy = 7.61 states/eV/cell
Magnetic moment = 0.000 μB/atom
Formation energy (no corrections) = -71 kJ/mol of atoms

Cell: 5.519 5.519 15.428 Å, 90.00 90.00 90.00°
Space group I-42d (No. 122)
One atom of each set of equivalent atoms:
Cd: 0.116 0.250 0.125 (multiplicity 8)
I: 0.000 0.000 0.500 (multiplicity 4)
F: 0.000 0.000 0.000 (multiplicity 4)


Here is a relaxed structure of CaZrAgIr2 from the Alexandria database. Energies are from GGA-PBE.

Summary:
Electronic total energy = -4.886 eV/atom
DOS at the Fermi energy = 6.99 states/eV/cell
Magnetic moment = 0.000 μB/atom

Cell: 4.850 4.850 4.722 Å, 90.00 90.00 90.00°
Space group P4/mmm (No. 123)
One atom of each set of equivalent atoms:
Ca: 0.000 0.000 0.000 (multiplicity 1)
Zr: 0.500 0.500 0.500 (multiplicity 1)
Ag: 0.000 0.000 0.500 (multiplicity 1)
Ir: 0.000 0.500 0.000 (multiplicity 2)


Here is a relaxed structure of Sr2AlBiAu6 from the Alexandria database. Energies are from GGA-PBE.

Summary:
Electronic total energy = -3.538 eV/atom
DOS at the Fermi energy = 8.25 states/eV/cell
Magnetic moment = 0.000 μB/atom

Cell: 13.072 5.597 9.475 Å, 90.00 132.72 90.00°
Space group C2/m (No. 12)
One atom of each set of equivalent atoms:
Sr: 0.237 0.000 0.207 (multiplicity 4)
Al: 0.000 0.000 0.500 (multiplicity 2)
Bi: 0.000 0.500 0.000 (multiplicity 2)
Au: 0.012 0.252 0.734 (multiplicity 8)
Au: 0.242 0.000 0.588 (multiplicity 4)


Here is a relaxed structure of LiOsBr2 from the Alexandria database. Energies are from GGA-PBE.

Summary:
Electronic total energy = -3.644 eV/atom
DOS at the Fermi energy = 7.93 states/eV/cell
Magnetic moment = 0.513 μB/atom
Formation energy (no corrections) = 46 kJ/mol of atoms

Cell: 3.649 3.649 14.425 Å, 90.00 90.00 90.00°
Space group I-4m2 (No. 119)
One atom of each set of equivalent atoms:
Li: 0.000 0.000 0.000 (multiplicity 2)
Os: 0.000 0.500 0.750 (multiplicity 2)
Br: 0.000 0.000 0.500 (multiplicity 2)
Br: 0.000 0.500 0.250 (multiplicity 2)